No. 1
Material: La2ZnNi16
Method: DFT, PBE
State: relaxed

```
data_La2ZnNi16
_symmetry_space_group_name_H-M 'R 3 m'
_symmetry_Int_Tables_number 160
_symmetry_space_group_name_Hall 'R 3 -2"'
_cell_length_a 8.4231
_cell_length_b 8.4231
_cell_length_c 12.2457
_cell_angle_alpha 90.00
_cell_angle_beta 90.00
_cell_angle_gamma 120.00
loop_
_atom_site_label
_atom_site_type_symbol
_atom_site_fract_x
_atom_site_fract_y
_atom_site_fract_z
La1 La 0.0000 0.0000 0.0000
La2 La 0.0000 0.0000 0.3133
Zn1 Zn 0.0000 0.0000 0.7471
Ni1 Ni 0.0000 0.0000 0.5527
Ni2 Ni 0.0001 0.2914 0.6540
Ni3 Ni 0.0014 0.5007 0.1545
Ni4 Ni 0.0042 0.5021 0.4989
Ni5 Ni 0.1686 0.3372 0.1437
```

Values from the calculation:
The value obtained for the formation energy is -0.190 eV/atom.



No. 2
Material: Ni3W
Method: DFT, PBE
State: relaxed

```
data_Ni3W
_symmetry_space_group_name_H-M 'P 4/m m m'
_symmetry_Int_Tables_number 123
_symmetry_space_group_name_Hall '-P 4 2'
_cell_length_a 2.6711
_cell_length_b 2.6711
_cell_length_c 6.8580
_cell_angle_alpha 90.00
_cell_angle_beta 90.00
_cell_angle_gamma 90.00
loop_
_atom_site_label
_atom_site_type_symbol
_atom_site_fract_x
_atom_site_fract_y
_atom_site_fract_z
Ni1 Ni 0.0000 0.0000 0.0000
Ni2 Ni 0.5000 0.5000 0.2368
W1 W 0.0000 0.0000 0.5000
```

Values from the calculation:
The value obtained for the formation energy is 0.051 eV/atom.



No. 3
Material: AcTaBi2O8
Method: DFT, PBE
State: relaxed

```
data_AcTaBi2O8
_symmetry_space_group_name_H-M 'C m m m'
_symmetry_Int_Tables_number 65
_symmetry_space_group_name_Hall '-C 2 2'
_cell_length_a 7.1898
_cell_length_b 7.3769
_cell_length_c 7.1442
_cell_angle_alpha 90.00
_cell_angle_beta 90.00
_cell_angle_gamma 90.00
loop_
_atom_site_label
_atom_site_type_symbol
_atom_site_fract_x
_atom_site_fract_y
_atom_site_fract_z
Ac1 Ac 0.0000 0.0000 0.0000
Ta1 Ta 0.0000 0.0000 0.5000
Bi1 Bi 0.0000 0.5000 0.2615
O1 O 0.0000 0.2830 0.5000
O2 O 0.0000 0.3283 0.0000
O3 O 0.1868 0.0000 0.2945
```

Values from the calculation:
Its uncorrected formation energy is -24.15 eV per formula unit.



Number 1: size of the total moment 5.3 μB per formula unit. Number 2: size of the total moment 0.0 μB per formula unit. Number 3: size of the total moment 0.0 μB per formula unit.